1.
First-principles (PBE-GGA) data for crystalline Tb2ZrNi at its relaxed geometry, as listed in Alexandria.

Geometry as POSCAR:
```
Tb2ZrNi
1.0
3.424 0.000 0.000
0.000 3.424 0.000
0.000 0.000 7.948
Tb Zr Ni
2 1 1
Direct
0.000 0.000 0.208 Tb
0.000 0.000 0.792 Tb
0.500 0.500 0.500 Zr
0.500 0.500 0.000 Ni
```

Calculated values
DFT formation energy	-0.43	eV/f.u.
SG	P4/mmm
spin magnetization	0.0	μB per formula unit

---

2.
First-principles (PBE-GGA) data for crystalline TbZrNi2 at its relaxed geometry, as listed in Alexandria.

Geometry as POSCAR:
```
TbZrNi2
1.0
2.218 1.280 4.457
-2.218 1.280 4.457
0.000 -2.561 4.457
Tb Zr Ni
1 1 2
Direct
0.000 0.000 0.000 Tb
0.500 0.500 0.500 Zr
0.213 0.213 0.213 Ni
0.787 0.787 0.787 Ni
```

Calculated values
DFT formation energy	-1.37	eV/f.u.
SG	R-3m
spin magnetization	0.0	μB per formula unit

---

3.
First-principles (PBE-GGA) data for crystalline TbZr2Ni at its relaxed geometry, as listed in Alexandria.

Geometry as POSCAR:
```
TbZr2Ni
1.0
3.303 0.000 0.000
0.000 3.303 0.000
0.000 0.000 7.835
Tb Zr Ni
1 2 1
Direct
0.000 0.000 0.000 Tb
0.500 0.500 0.303 Zr
0.500 0.500 0.697 Zr
0.000 0.000 0.500 Ni
```

Calculated values
DFT formation energy	-0.29	eV/f.u.
SG	P4/mmm
spin magnetization	0.0	μB per formula unit

---

4.
First-principles (PBE-GGA) data for crystalline Tb2ZrNi at its relaxed geometry, as listed in Alexandria.

Geometry as POSCAR:
```
Tb2ZrNi
1.0
1.684 0.972 10.215
-1.684 0.972 10.215
0.000 -1.945 10.215
Tb Zr Ni
2 1 1
Direct
0.105 0.105 0.105 Tb
0.895 0.895 0.895 Tb
0.000 0.000 0.000 Zr
0.500 0.500 0.500 Ni
```

Calculated values
DFT formation energy	0.99	eV/f.u.
SG	R-3m
spin magnetization	0.0	μB per formula unit

---

5.
First-principles (PBE-GGA) data for crystalline TbZrNi2 at its relaxed geometry, as listed in Alexandria.

Geometry as POSCAR:
```
TbZrNi2
1.0
5.178 0.000 0.000
0.000 4.292 0.000
-2.231 0.000 6.671
Tb Zr Ni
2 2 4
Direct
0.223 0.250 0.426 Tb
0.777 0.750 0.574 Tb
0.219 0.250 0.937 Zr
0.781 0.750 0.063 Zr
0.337 0.750 0.180 Ni
0.347 0.750 0.746 Ni
0.653 0.250 0.254 Ni
0.663 0.250 0.820 Ni
```

Calculated values
DFT formation energy	-1.74	eV/f.u.
SG	P2_1/m
spin magnetization	0.0	μB per formula unit

---

6.
First-principles (PBE-GGA) data for crystalline TbZrNi2 at its relaxed geometry, as listed in Alexandria.

Geometry as POSCAR:
```
TbZrNi2
1.0
3.480 0.000 0.000
0.000 4.252 0.000
-1.725 0.000 4.975
Tb Zr Ni
1 1 2
Direct
0.000 0.000 0.000 Tb
0.277 0.500 0.555 Zr
0.570 0.500 0.139 Ni
0.724 0.000 0.449 Ni
```

Calculated values
DFT formation energy	-1.60	eV/f.u.
SG	Pm
spin magnetization	0.0	μB per formula unit

---

7.
First-principles (PBE-GGA) data for crystalline TbZrNi4 at its relaxed geometry, as listed in Alexandria.

Geometry as POSCAR:
```
TbZrNi4
1.0
0.000 3.543 3.543
3.543 0.000 3.543
3.543 3.543 0.000
Tb Zr Ni
1 1 4
Direct
0.000 0.000 0.000 Tb
0.750 0.750 0.750 Zr
0.375 0.375 0.375 Ni
0.375 0.375 0.874 Ni
0.375 0.874 0.375 Ni
0.874 0.375 0.375 Ni
```

Calculated values
DFT formation energy	-2.31	eV/f.u.
SG	F-43m
spin magnetization	0.0	μB per formula unit

---

8.
First-principles (PBE-GGA) data for crystalline TbZr2Ni9 at its relaxed geometry, as listed in Alexandria.

Geometry as POSCAR:
```
TbZr2Ni9
1.0
2.449 1.414 7.967
-2.449 1.414 7.967
0.000 -2.828 7.967
Tb Zr Ni
1 2 9
Direct
0.000 0.000 0.000 Tb
0.139 0.139 0.139 Zr
0.861 0.861 0.861 Zr
0.081 0.587 0.587 Ni
0.334 0.334 0.334 Ni
0.413 0.413 0.919 Ni
0.413 0.919 0.413 Ni
0.500 0.500 0.500 Ni
0.587 0.081 0.587 Ni
0.587 0.587 0.081 Ni
0.666 0.666 0.666 Ni
0.919 0.413 0.413 Ni
```

Calculated values
DFT formation energy	-5.09	eV/f.u.
SG	R-3m
spin magnetization	0.0	μB per formula unit

---

| no. | electronic total energy (eV/atom) |
| --- | --- |
| 1 | -6.0058 |
| 2 | -6.5266 |
| 3 | -6.9498 |
| 4 | -5.6510 |
| 5 | -6.6199 |
| 6 | -6.5861 |
| 7 | -6.4354 |
| 8 | -6.5707 |